No. 1
Entry from Alexandria via LeMat-Bulk: a crystal of TlSi relaxed with PBEsol (SCAN).

Formation energy without anion corrections in meV/atom: 815.4
Total DFT energy (no corrections) in eV/atom: -40.37
Space group: No. 187

Cell: 3.066 3.066 5.417 Å, 90.00 90.00 120.00°
Element x y z (fractional)
1 Si 0.000 0.000 0.000
2 Tl 0.333 0.667 0.500


No. 2
Entry from Alexandria via LeMat-Bulk: a crystal of TlSi2 relaxed with PBEsol (SCAN).

Formation energy without anion corrections in meV/atom: 520.2
Total DFT energy (no corrections) in eV/atom: -30.28
Space group: No. 123
ΔE to the lowest computed polymorph in meV per atom: 110

Cell: 3.475 3.475 5.195 Å, 90.00 90.00 90.00°
Element x y z (fractional)
1 Tl 0.000 0.000 0.000
2 Si 0.000 0.500 0.500
3 Si 0.500 0.000 0.500


No. 3
Entry from Alexandria via LeMat-Bulk: a crystal of Tl2Si relaxed with PBEsol (SCAN).

Formation energy without anion corrections in meV/atom: 478.4
Total DFT energy (no corrections) in eV/atom: -51.10
Space group: No. 141
ΔE to the lowest computed polymorph in meV per atom: 0

Cell: 3.334 3.334 13.728 Å, 96.98 96.98 90.00°
Element x y z (fractional)
1 Tl 0.678 0.178 0.356
2 Tl 0.572 0.572 0.144
3 Tl 0.822 0.322 0.644
4 Tl 0.428 0.428 0.856
5 Si 0.250 0.750 0.500
6 Si 0.000 0.000 0.000


No. 4
Entry from Alexandria via LeMat-Bulk: a crystal of Tl2Si relaxed with PBEsol (SCAN).

Formation energy without anion corrections in meV/atom: 531.2
Total DFT energy (no corrections) in eV/atom: -51.05
Space group: No. 123
ΔE to the lowest computed polymorph in meV per atom: 53

Cell: 3.582 4.721 4.721 Å, 90.00 90.00 90.00°
Element x y z (fractional)
1 Tl 0.500 0.000 0.500
2 Tl 0.500 0.500 0.000
3 Si 0.000 0.000 0.000


No. 5
Entry from Alexandria via LeMat-Bulk: a crystal of TlSi2 relaxed with PBEsol (SCAN).

Formation energy without anion corrections in meV/atom: 410.4
Total DFT energy (no corrections) in eV/atom: -30.39
Space group: No. 191
ΔE to the lowest computed polymorph in meV per atom: 0

Cell: 3.948 3.948 5.134 Å, 90.00 90.00 120.00°
Element x y z (fractional)
1 Si 0.667 0.333 0.500
2 Si 0.333 0.667 0.500
3 Tl 0.000 0.000 0.000


No. 6
Entry from Alexandria via LeMat-Bulk: a crystal of Tl2Si relaxed with PBEsol (SCAN).

Formation energy without anion corrections in meV/atom: 527.4
Total DFT energy (no corrections) in eV/atom: -51.05
Space group: No. 194
ΔE to the lowest computed polymorph in meV per atom: 49

Cell: 5.207 5.207 6.138 Å, 90.00 90.00 120.00°
Element x y z (fractional)
1 Tl 0.333 0.667 0.750
2 Tl 0.667 0.333 0.250
3 Tl 0.000 0.000 0.500
4 Tl 0.000 0.000 0.000
5 Si 0.667 0.333 0.750
6 Si 0.333 0.667 0.250


No. 7
Entry from Alexandria via LeMat-Bulk: a crystal of TlSi2W relaxed with PBEsol (SCAN).

Formation energy without anion corrections in meV/atom: 877.0
Total DFT energy (no corrections) in eV/atom: -39.64
Space group: No. 44
ΔE to the lowest computed polymorph in meV per atom: 145

Cell: 3.310 4.673 5.116 Å, 117.17 108.88 90.00°
Element x y z (fractional)
1 W 0.273 0.773 0.546
2 Tl 0.491 0.491 0.982
3 Si 0.009 0.009 0.019
4 Si 0.727 0.227 0.454


No. 8
Entry from Alexandria via LeMat-Bulk: a crystal of TlSi2W relaxed with PBEsol (SCAN).

Formation energy without anion corrections in meV/atom: 732.2
Total DFT energy (no corrections) in eV/atom: -39.79
Space group: No. 160
ΔE to the lowest computed polymorph in meV per atom: 0

Cell: 2.900 2.900 9.980 Å, 81.65 81.65 60.00°
Element x y z (fractional)
1 W 0.263 0.263 0.210
2 Tl 0.507 0.507 0.480
3 Si 0.997 0.997 0.008
4 Si 0.733 0.733 0.802